This record from Alexandria describes an optimized crystal structure of NaH3Rh2. The functional is PBE.

Computed properties:
The value obtained for the total DFT energy (no corrections) is -52.6 eV per cell. The space group is P6/mmm, No. 191.

abc: 5.5696 4.8094 4.8094
angles: 119.99 90.00 90.00
Atoms (fractional coordinates):
Rh (0.5000, 0.1667, 0.8333)
Na (0.7500, 0.5001, 0.5001)
H (0.2500, 0.5003, 0.0002)
H (0.7500, 0.9998, 0.4997)
H (0.2500, 0.0002, 0.5003)
H (0.7500, 0.4997, 0.9998)
Rh (0.5000, 0.8333, 0.1667)
Na (0.2500, 0.4999, 0.4999)
H (0.7500, 0.0001, 0.0001)
H (0.2500, 0.9999, 0.9999)
Rh (0.0000, 0.1667, 0.8333)
Rh (0.0000, 0.8333, 0.1667)

=====

This record from Alexandria describes an optimized crystal structure of NaH3Rh. The functional is PBE.

Computed properties:
The value obtained for the total DFT energy (no corrections) is -39.1 eV per cell. The value obtained for the energy above the most stable polymorph in this dataset is 11.1 kJ/mol of atoms. The space group is R-3, No. 148.

abc: 5.4602 5.4602 5.4602
angles: 54.86 54.86 54.86
Atoms (fractional coordinates):
H (0.3467, 0.5144, 0.9409)
H (0.9409, 0.3467, 0.5144)
Rh (0.6671, 0.6671, 0.6671)
Na (0.8860, 0.8860, 0.8860)
Na (0.1140, 0.1140, 0.1140)
Rh (0.3329, 0.3329, 0.3329)
H (0.6533, 0.4856, 0.0591)
H (0.4856, 0.0591, 0.6533)
H (0.5144, 0.9409, 0.3467)
H (0.0591, 0.6533, 0.4856)

=====

This record from Alexandria describes an optimized crystal structure of Na5H4Rh. The functional is PBE.

Computed properties:
The value obtained for the total DFT energy (no corrections) is -28.4 eV per cell. The space group is C2/m, No. 12.

abc: 3.1385 6.7900 8.1405
angles: 104.81 101.11 90.00
Atoms (fractional coordinates):
Na (0.5000, 0.5000, 0.0000)
Rh (0.5000, 0.0000, 0.0000)
H (0.3895, 0.9370, 0.7790)
Na (0.8511, 0.1460, 0.7021)
Na (0.8425, 0.6805, 0.6851)
H (0.6105, 0.0630, 0.2210)
H (0.0015, 0.1486, 0.0029)
H (0.9985, 0.8514, 0.9971)
Na (0.1489, 0.8540, 0.2979)
Na (0.1575, 0.3195, 0.3149)

=====

This record from Alexandria describes an optimized crystal structure of NaH3Rh. The functional is PBE.

Computed properties:
The value obtained for the total DFT energy (no corrections) is -18.7 eV per cell. The value obtained for the energy above the most stable polymorph in this dataset is 26.6 kJ/mol of atoms. The space group is Amm2, No. 38.

abc: 2.8461 4.9326 4.9326
angles: 109.77 90.00 90.00
Atoms (fractional coordinates):
H (0.5000, 0.2498, 0.3863)
Rh (0.0000, 0.4461, 0.5539)
H (0.5000, 0.6137, 0.7502)
H (0.0000, 0.2560, 0.7440)
Na (0.5000, 0.0624, 0.9376)

=====

This record from Alexandria describes an optimized crystal structure of NaH3Rh. The functional is PBE.

Computed properties:
The value obtained for the total DFT energy (no corrections) is -78.1 eV per cell. The value obtained for the energy above the most stable polymorph in this dataset is 11.6 kJ/mol of atoms. The space group is Cmce, No. 64.

abc: 15.2470 4.7821 6.1448
angles: 90.00 157.27 90.00
Atoms (fractional coordinates):
Na (0.6083, 0.2498, 0.6080)
Rh (0.6112, 0.2309, 0.1114)
H (0.7376, 0.4948, 0.2372)
Na (0.1083, 0.2502, 0.1080)
Na (0.3917, 0.7502, 0.3920)
Rh (0.3888, 0.7691, 0.8886)
H (0.5557, 0.8765, 0.0565)
H (0.0557, 0.6235, 0.5565)
H (0.9443, 0.3765, 0.4435)
Rh (0.1112, 0.2691, 0.6114)
H (0.8597, 0.2495, 0.8600)
H (0.2624, 0.5052, 0.7628)
H (0.3597, 0.2505, 0.3600)
H (0.4443, 0.1235, 0.9435)
H (0.7624, 0.9948, 0.2628)
Na (0.8917, 0.7498, 0.8920)
H (0.6403, 0.7495, 0.6400)
H (0.2376, 0.0052, 0.7372)
Rh (0.8888, 0.7309, 0.3886)
H (0.1403, 0.7505, 0.1400)

=====

This record from Alexandria describes an optimized crystal structure of Na2HRh. The functional is PBE.

Computed properties:
The value obtained for the total DFT energy (no corrections) is -25.9 eV per cell. The value obtained for the energy above the most stable polymorph in this dataset is 0.0 kJ/mol of atoms. The space group is I-42d, No. 122.

abc: 9.5334 9.5334 6.9518
angles: 46.71 46.71 90.00
Atoms (fractional coordinates):
H (0.2500, 0.7500, 0.5000)
Na (0.4488, 0.1250, 0.2500)
H (0.5000, 0.5000, 0.0000)
Rh (0.0000, 0.0000, 0.0000)
Na (0.3750, 0.5512, 0.7500)
Na (0.8750, 0.6988, 0.7500)
Na (0.3012, 0.6250, 0.2500)
Rh (0.7500, 0.2500, 0.5000)

=====

This record from Alexandria describes an optimized crystal structure of NaH3Rh. The functional is PBE.

Computed properties:
The value obtained for the total DFT energy (no corrections) is -36.9 eV per cell. The value obtained for the energy above the most stable polymorph in this dataset is 31.9 kJ/mol of atoms. The space group is I-4m2, No. 119.

abc: 3.1693 3.1693 10.1688
angles: 81.03 81.03 90.00
Atoms (fractional coordinates):
Na (0.8588, 0.3588, 0.2825)
H (0.6097, 0.9331, 0.1338)
H (0.2565, 0.9331, 0.1338)
Rh (0.0000, 0.0000, 0.0000)
H (0.0669, 0.3903, 0.8662)
Na (0.6412, 0.1412, 0.7175)
Rh (0.2500, 0.7500, 0.5000)
H (0.0669, 0.7435, 0.8662)
H (0.7206, 0.7206, 0.5588)
H (0.2794, 0.2794, 0.4412)

=====

This record from Alexandria describes an optimized crystal structure of Na4H5Rh. The functional is PBE.

Computed properties:
The value obtained for the total DFT energy (no corrections) is -31.5 eV per cell. The value obtained for the energy above the most stable polymorph in this dataset is 3.9 kJ/mol of atoms. The space group is I4, No. 79.

abc: 4.9977 5.6100 5.6100
angles: 78.56 63.55 63.55
Atoms (fractional coordinates):
Na (0.8013, 0.8316, 0.6089)
Na (0.4102, 0.3911, 0.8316)
Na (0.2418, 0.1684, 0.3911)
H (0.9455, 0.2951, 0.8251)
H (0.2406, 0.8251, 0.7049)
H (0.3705, 0.0000, 0.0000)
H (0.0657, 0.7049, 0.1749)
H (0.7706, 0.1749, 0.2951)
Rh (0.0312, 0.0000, 0.0000)
Na (0.6329, 0.6089, 0.1684)

=====

This record from Alexandria describes an optimized crystal structure of Na2H5Rh. The functional is PBE.

Computed properties:
The value obtained for the total DFT energy (no corrections) is -56.6 eV per cell. The value obtained for the energy above the most stable polymorph in this dataset is 9.4 kJ/mol of atoms. The space group is Cmcm, No. 63.

abc: 3.3612 5.8601 9.6130
angles: 90.00 90.00 106.67
Atoms (fractional coordinates):
H (0.2534, 0.5068, 0.3766)
H (0.7466, 0.4932, 0.6234)
Rh (0.8478, 0.6956, 0.7500)
Rh (0.1522, 0.3044, 0.2500)
Na (0.1360, 0.2721, 0.5776)
H (0.7466, 0.4932, 0.8766)
H (0.0468, 0.0937, 0.3701)
Na (0.1360, 0.2721, 0.9224)
H (0.0468, 0.0937, 0.1299)
H (0.6889, 0.3778, 0.2500)
H (0.3111, 0.6222, 0.7500)
H (0.9532, 0.9063, 0.8701)
Na (0.8640, 0.7279, 0.0776)
Na (0.8640, 0.7279, 0.4224)
H (0.9532, 0.9063, 0.6299)
H (0.2534, 0.5068, 0.1234)

=====

This record from Alexandria describes an optimized crystal structure of NaH2Rh2. The functional is PBE.

Computed properties:
The value obtained for the total DFT energy (no corrections) is -22.2 eV per cell. The space group is I4/mmm, No. 139.

abc: 3.6025 3.6025 5.4253
angles: 70.61 70.61 90.00
Atoms (fractional coordinates):
Rh (0.2995, 0.2995, 0.4010)
Rh (0.7005, 0.7005, 0.5990)
H (0.7500, 0.2500, 0.5000)
Na (0.0000, 0.0000, 0.0000)
H (0.2500, 0.7500, 0.5000)

=====

This record from Alexandria describes an optimized crystal structure of Na2H5Rh. The functional is PBE.

Computed properties:
The value obtained for the total DFT energy (no corrections) is -116.4 eV per cell. The value obtained for the energy above the most stable polymorph in this dataset is 0.0 kJ/mol of atoms. The space group is Pnma, No. 62.

abc: 4.9537 6.5159 10.0189
angles: 90.00 90.00 90.00
Atoms (fractional coordinates):
Na (0.2500, 0.6654, 0.0797)
H (0.5261, 0.6825, 0.8776)
H (0.2500, 0.0438, 0.2026)
H (0.7500, 0.4562, 0.7026)
Na (0.7500, 0.8346, 0.5797)
Na (0.7500, 0.3346, 0.9203)
H (0.0000, 0.5000, 0.5000)
H (0.2500, 0.3080, 0.9161)
H (0.7500, 0.1920, 0.4161)
Na (0.2500, 0.1654, 0.4203)
H (0.9739, 0.6825, 0.8776)
Na (0.2500, 0.4856, 0.7121)
Rh (0.2500, 0.6660, 0.4402)
H (0.0261, 0.3175, 0.1224)
Rh (0.7500, 0.3340, 0.5598)
Rh (0.2500, 0.1660, 0.0598)
Na (0.7500, 0.0144, 0.2121)
H (0.5000, 0.0000, 0.0000)
H (0.0261, 0.8175, 0.3776)
H (0.7500, 0.6920, 0.0839)
Na (0.2500, 0.9856, 0.7879)
Rh (0.7500, 0.8340, 0.9402)
H (0.5000, 0.5000, 0.5000)
H (0.9739, 0.1825, 0.6224)
H (0.4739, 0.3175, 0.1224)
H (0.2500, 0.5438, 0.2974)
H (0.5261, 0.1825, 0.6224)
H (0.7500, 0.9562, 0.7974)
H (0.4739, 0.8175, 0.3776)
Na (0.7500, 0.5144, 0.2879)
H (0.2500, 0.8080, 0.5839)
H (0.0000, 0.0000, 0.0000)

=====

This record from Alexandria describes an optimized crystal structure of NaH7Rh2. The functional is PBE.

Computed properties:
The value obtained for the total DFT energy (no corrections) is -40.7 eV per cell. The space group is Cmmm, No. 65.

abc: 3.4295 5.2180 5.2181
angles: 117.44 90.00 90.00
Atoms (fractional coordinates):
H (0.0000, 0.6755, 0.3245)
H (0.5000, 0.6591, 0.9518)
H (0.5000, 0.0482, 0.3409)
Rh (0.5000, 0.3093, 0.6907)
H (0.0000, 0.3245, 0.6755)
H (0.5000, 0.3409, 0.0482)
H (0.5000, 0.9518, 0.6591)
H (0.5000, 0.5000, 0.5000)
Rh (0.5000, 0.6907, 0.3093)
Na (0.0000, 0.0000, 0.0000)

=====

Please write out number 5 again, unchanged.
This record from Alexandria describes an optimized crystal structure of NaH3Rh. The functional is PBE.

Computed properties:
The value obtained for the total DFT energy (no corrections) is -78.1 eV per cell. The value obtained for the energy above the most stable polymorph in this dataset is 11.6 kJ/mol of atoms. The space group is Cmce, No. 64.

abc: 15.2470 4.7821 6.1448
angles: 90.00 157.27 90.00
Atoms (fractional coordinates):
Na (0.6083, 0.2498, 0.6080)
Rh (0.6112, 0.2309, 0.1114)
H (0.7376, 0.4948, 0.2372)
Na (0.1083, 0.2502, 0.1080)
Na (0.3917, 0.7502, 0.3920)
Rh (0.3888, 0.7691, 0.8886)
H (0.5557, 0.8765, 0.0565)
H (0.0557, 0.6235, 0.5565)
H (0.9443, 0.3765, 0.4435)
Rh (0.1112, 0.2691, 0.6114)
H (0.8597, 0.2495, 0.8600)
H (0.2624, 0.5052, 0.7628)
H (0.3597, 0.2505, 0.3600)
H (0.4443, 0.1235, 0.9435)
H (0.7624, 0.9948, 0.2628)
Na (0.8917, 0.7498, 0.8920)
H (0.6403, 0.7495, 0.6400)
H (0.2376, 0.0052, 0.7372)
Rh (0.8888, 0.7309, 0.3886)
H (0.1403, 0.7505, 0.1400)

=====

Copy entry 3 word for word.
This record from Alexandria describes an optimized crystal structure of Na5H4Rh. The functional is PBE.

Computed properties:
The value obtained for the total DFT energy (no corrections) is -28.4 eV per cell. The space group is C2/m, No. 12.

abc: 3.1385 6.7900 8.1405
angles: 104.81 101.11 90.00
Atoms (fractional coordinates):
Na (0.5000, 0.5000, 0.0000)
Rh (0.5000, 0.0000, 0.0000)
H (0.3895, 0.9370, 0.7790)
Na (0.8511, 0.1460, 0.7021)
Na (0.8425, 0.6805, 0.6851)
H (0.6105, 0.0630, 0.2210)
H (0.0015, 0.1486, 0.0029)
H (0.9985, 0.8514, 0.9971)
Na (0.1489, 0.8540, 0.2979)
Na (0.1575, 0.3195, 0.3149)

=====

Copy entry 1 word for word.
This record from Alexandria describes an optimized crystal structure of NaH3Rh2. The functional is PBE.

Computed properties:
The value obtained for the total DFT energy (no corrections) is -52.6 eV per cell. The space group is P6/mmm, No. 191.

abc: 5.5696 4.8094 4.8094
angles: 119.99 90.00 90.00
Atoms (fractional coordinates):
Rh (0.5000, 0.1667, 0.8333)
Na (0.7500, 0.5001, 0.5001)
H (0.2500, 0.5003, 0.0002)
H (0.7500, 0.9998, 0.4997)
H (0.2500, 0.0002, 0.5003)
H (0.7500, 0.4997, 0.9998)
Rh (0.5000, 0.8333, 0.1667)
Na (0.2500, 0.4999, 0.4999)
H (0.7500, 0.0001, 0.0001)
H (0.2500, 0.9999, 0.9999)
Rh (0.0000, 0.1667, 0.8333)
Rh (0.0000, 0.8333, 0.1667)